Computed, not measured: a relaxed SrAgBr5 crystal at the PBE level of DFT.

Properties
- uncorrected formation energy (eV per atom) = -0.8580

abc: 11.8626 8.1686 11.4420
angles: 90.00 116.46 90.00
Space group C2/c (No. 15)
Unique sites:
1 Sr 0.0000 0.0972 0.2500
2 Ag 0.0000 0.5000 0.0000
3 Br 0.0000 0.4666 0.2500
4 Br 0.0311 0.1755 0.5297
5 Br 0.2390 0.4471 0.1113



Computed, not measured: a relaxed BeSiOs2W crystal at the PBE level of DFT.

Properties
- uncorrected formation energy (eV per atom) = 1.2677

abc: 4.3726 4.3726 4.0632
angles: 90.00 90.00 90.00
Space group P4/mmm (No. 123)
Unique sites:
1 Be 0.0000 0.0000 0.0000
2 Si 0.0000 0.0000 0.5000
3 Os 0.0000 0.5000 0.5000
4 W 0.5000 0.5000 0.0000



Computed, not measured: a relaxed MnAg2PS4 crystal at the PBE level of DFT.

Properties
- uncorrected formation energy (eV per atom) = -0.1721

abc: 5.7148 5.7202 6.6377
angles: 115.49 115.47 90.06
Space group P1 (No. 1)
Unique sites:
1 Mn 0.0000 0.0000 0.0000
2 Ag 0.4997 0.5006 0.9991
3 Ag 0.7484 0.2487 0.4995
4 P 0.2496 0.7494 0.4997
5 S 0.1323 0.6651 0.7391
6 S 0.3340 0.3934 0.2594
7 S 0.6060 0.0737 0.7406
8 S 0.9262 0.8665 0.2604



Computed, not measured: a relaxed Li2Ca3Ge3 crystal at the PBE level of DFT.

Properties
- formation enthalpy at 0 K (eV/f.u.) = -4.15

abc: 4.4147 10.8861 15.1123
angles: 90.00 90.00 90.00
Space group Cmcm (No. 63)
Unique sites:
1 Li 0.0000 0.2138 0.0861
2 Ca 0.0000 0.0905 0.6116
3 Ca 0.0000 0.3738 0.7500
4 Ge 0.0000 0.3296 0.2500
5 Ge 0.0000 0.4014 0.5427



Computed, not measured: a relaxed AcP2Pb crystal at the PBE level of DFT.

Properties
- distance to the lowest polymorph of the same formula (meV/atom) = 89
- formation enthalpy at 0 K (eV/f.u.) = -1.69

abc: 7.3998 7.3998 7.3998
angles: 90.00 90.00 90.00
Space group Fm-3m (No. 225)
Unique sites:
1 Ac 0.0000 0.0000 0.0000
2 P 0.2500 0.2500 0.2500
3 Pb 0.0000 0.0000 0.5000



Computed, not measured: a relaxed Pu2AlRu crystal at the PBE level of DFT.

Properties
- formation enthalpy at 0 K (eV/f.u.) = 0.41

abc: 3.5456 3.5456 5.0973
angles: 90.00 90.00 90.00
Space group P4/mmm (No. 123)
Unique sites:
1 Pu 0.0000 0.5000 0.0000
2 Al 0.0000 0.0000 0.5000
3 Ru 0.5000 0.5000 0.5000



Computed, not measured: a relaxed SiSbTe4 crystal at the PBE level of DFT.

Properties
- uncorrected formation energy (eV per atom) = 0.0088
- distance to the lowest polymorph of the same formula (meV/atom) = 0

abc: 7.0699 7.8475 8.3786
angles: 90.00 90.00 90.00
Space group P222 (No. 16)
Unique sites:
1 Si 0.0000 0.0000 0.0000
2 Si 0.0000 0.5000 0.5000
3 Sb 0.0000 0.0000 0.5000
4 Sb 0.5000 0.0000 0.0000
5 Te 0.2021 0.3017 0.6663
6 Te 0.2122 0.1856 0.1781



Computed, not measured: a relaxed DyErScIn crystal at the PBE level of DFT.

Properties
- distance to the lowest polymorph of the same formula (meV/atom) = 0
- formation enthalpy at 0 K (eV/f.u.) = -1.04

abc: 4.7079 4.7280 4.7369
angles: 90.00 90.00 90.00
Space group Pmmm (No. 47)
Unique sites:
1 Dy 0.0000 0.0000 0.0000
2 Er 0.0000 0.5000 0.5000
3 Sc 0.5000 0.5000 0.0000
4 In 0.5000 0.0000 0.5000



Computed, not measured: a relaxed CaTl2Os crystal at the PBE level of DFT.

Properties
- formation enthalpy at 0 K (eV/f.u.) = 2.27

abc: 3.4505 3.4505 27.4948
angles: 90.00 90.00 120.00
Space group R-3m (No. 166, hexagonal axes)
Unique sites:
1 Ca 0.0000 0.0000 0.0000
2 Tl 0.0000 0.0000 0.2406
3 Os 0.0000 0.0000 0.5000



Computed, not measured: a relaxed OsSeNO2 crystal at the PBE level of DFT.

Properties
- uncorrected formation energy (eV per atom) = 1.4139

abc: 3.7549 3.7549 4.3024
angles: 90.00 90.00 90.00
Space group P4/mmm (No. 123)
Unique sites:
1 Os 0.0000 0.0000 0.0000
2 Se 0.5000 0.5000 0.5000
3 N 0.5000 0.5000 0.0000
4 O 0.0000 0.5000 0.5000



Computed, not measured: a relaxed Mn5Sn3Cl16 crystal at the PBE level of DFT.

Properties
- uncorrected formation energy (eV per atom) = -1.0182

abc: 13.9921 7.7940 11.9094
angles: 90.00 91.21 90.00
Space group Cm (No. 8)
Unique sites:
1 Mn 0.0000 0.0000 0.0000
2 Mn 0.0158 0.5000 0.2442
3 Mn 0.0929 0.2532 0.5123
4 Mn 0.3467 0.5000 0.7290
5 Sn 0.2557 0.2458 0.0104
6 Sn 0.3484 0.0000 0.5089
7 Cl 0.0020 0.0000 0.6194
8 Cl 0.0266 0.5000 0.6277
9 Cl 0.0760 0.2540 0.1196
10 Cl 0.1439 0.0000 0.8835
11 Cl 0.1563 0.5000 0.3796
12 Cl 0.1603 0.0000 0.4064
13 Cl 0.1923 0.5000 0.8684
14 Cl 0.2502 0.2714 0.6258
15 Cl 0.3564 0.0000 0.1568
16 Cl 0.3599 0.5000 0.1286
17 Cl 0.4154 0.2814 0.8671
18 Cl 0.4500 0.2348 0.3806



Computed, not measured: a relaxed NdErSnPt crystal at the PBE level of DFT.

Properties
- formation enthalpy at 0 K (eV/f.u.) = -3.22

abc: 7.3742 7.3742 7.3742
angles: 90.00 90.00 90.00
Space group F-43m (No. 216)
Unique sites:
1 Nd 0.0000 0.0000 0.0000
2 Er 0.0000 0.0000 0.5000
3 Sn 0.2500 0.2500 0.7500
4 Pt 0.2500 0.2500 0.2500



Computed, not measured: a relaxed BaScTl2 crystal at the PBE level of DFT.

Properties
- formation enthalpy at 0 K (eV/f.u.) = 0.01

abc: 4.8305 4.8305 10.9147
angles: 90.00 90.00 90.00
Space group I-4m2 (No. 119)
Unique sites:
1 Ba 0.0000 0.0000 0.0000
2 Sc 0.0000 0.5000 0.7500
3 Tl 0.0000 0.0000 0.5000
4 Tl 0.0000 0.5000 0.2500



Computed, not measured: a relaxed K2NdCuF6 crystal at the PBE level of DFT.

Properties
- uncorrected formation energy (eV per atom) = -2.8178

abc: 9.0160 9.0160 9.0160
angles: 90.00 90.00 90.00
Space group Fm-3m (No. 225)
Unique sites:
1 K 0.2500 0.2500 0.2500
2 Nd 0.0000 0.0000 0.0000
3 Cu 0.0000 0.0000 0.5000
4 F 0.0000 0.0000 0.2514



Computed, not measured: a relaxed Be3TcSn crystal at the PBE level of DFT.

Properties
- distance to the lowest polymorph of the same formula (meV/atom) = 0
- formation enthalpy at 0 K (eV/f.u.) = 3.81

abc: 4.2883 4.2883 4.2883
angles: 90.00 90.00 90.00
Space group Pm-3m (No. 221)
Unique sites:
1 Be 0.0000 0.0000 0.5000
2 Tc 0.0000 0.0000 0.0000
3 Sn 0.5000 0.5000 0.5000